The following is a DFT calculation (GGA-PBE) of crystalline CsScHg2F8 at its relaxed geometry.

CIF file:
```
data_CsScHg2F8
_cell_length_a 5.146
_cell_length_b 5.236
_cell_length_c 8.377
_cell_angle_alpha 88.57
_cell_angle_beta 87.55
_cell_angle_gamma 88.62
_space_group_name_H-M_alt 'P -1'
_space_group_IT_number 2
_space_group_name_Hall '-P 1'
loop_
_atom_site_label
_atom_site_fract_x
_atom_site_fract_y
_atom_site_fract_z
Cs1 0.000 0.000 0.000
Sc1 0.000 0.000 0.500
Hg1 0.484 0.504 0.720
F1 0.122 0.231 0.667
F2 0.183 0.202 0.320
F3 0.324 0.749 0.525
F4 0.482 0.735 0.080
```

Values from the calculation:
DOS(E_F) = 0.00 states/eV/cell
E_form (uncorrected) = -2.4633 eV per atom
Raw total energy = -0.320 Ry/atom

***

The following is a DFT calculation (GGA-PBE) of crystalline Cs2ScHgF6 at its relaxed geometry.

CIF file:
```
data_Cs2ScHgF6
_cell_length_a 9.371
_cell_length_b 9.371
_cell_length_c 9.371
_cell_angle_alpha 90.00
_cell_angle_beta 90.00
_cell_angle_gamma 90.00
_space_group_name_H-M_alt 'F m -3 m'
_space_group_IT_number 225
_space_group_name_Hall '-F 4 2 3'
loop_
_atom_site_label
_atom_site_fract_x
_atom_site_fract_y
_atom_site_fract_z
Cs1 0.250 0.250 0.250
Sc1 0.000 0.000 0.000
Hg1 0.000 0.000 0.500
F1 0.000 0.000 0.218
```

Values from the calculation:
DOS(E_F) = 0.81 states/eV/cell
E_form (uncorrected) = -2.8843 eV per atom
Raw total energy = -0.356 Ry/atom